Here is a relaxed MgIrRh crystal from Alexandria. Energies are from PBE-GGA.

Unit cell a=6.2272 b=6.2272 c=6.2272 alpha=154.20 beta=154.20 gamma=36.81
Fractional positions:
Ir: 0.0072 0.0072 0.0000
Mg: 0.3336 0.3336 0.0000
Rh: 0.6592 0.6592 0.0000

Computed properties:
The formation energy from the elements comes out at -0.637 eV per formula unit. The calculated density comes out at 11.61 Mg/m³. Its density of states at the Fermi level is 0.92 states/eV/atom. The spin magnetization comes out at 0.00 μB per atom.